[1]
DFT (GGA-PBE) results for a relaxed Bi3BW crystal.

## Properties
Magnetic moment   0.00 μB/f.u.
Raw total energy   -23.1 eV for the cell shown
E_form   1.63 eV per atom
Distance to the lowest polymorph of the same formula   2.377 kcal/mol of atoms
Density of states at the Fermi level   0.579 states/eV per atom

Lattice parameters (Å, degrees): 5.3913 5.3913 5.3913 90.00 90.00 90.00
Last column: nearest neighbours and their distance in Å.
Atoms (fractional coordinates):
W: 0.0000 0.0000 0.0000  6 Bi 2.70
B: 0.5000 0.5000 0.5000  12 Bi 3.81
Bi: 0.0000 0.0000 0.5000  2 W 2.70
Bi: 0.0000 0.5000 0.0000  2 W 2.70
Bi: 0.5000 0.0000 0.0000  2 W 2.70

=====

[2]
DFT (GGA-PBE) results for a relaxed ZrBi2BW crystal.

## Properties
Magnetic moment   0.00 μB/f.u.
Raw total energy   -27.7 eV for the cell shown
E_form   1.66 eV per atom
Density of states at the Fermi level   1.272 states/eV per atom

Lattice parameters (Å, degrees): 5.3323 5.0737 5.3323 90.00 90.00 90.00
Last column: nearest neighbours and their distance in Å.
Atoms (fractional coordinates):
Bi: 0.0000 0.0000 0.5000  2 W 2.67
W: 0.0000 0.0000 0.0000  2 Zr 2.54, 4 Bi 2.67
Zr: 0.0000 0.5000 0.0000  2 W 2.54
Bi: 0.5000 0.0000 0.0000  2 W 2.67
B: 0.5000 0.5000 0.5000  8 Bi 3.68, 4 Zr 3.77